1.
Computed, not measured: crystalline Sr4AgAuN at its relaxed geometry at the PBE level of DFT.

Its symmetry is No. 63. Its magnetization is 0.00 μB per formula unit. The value obtained for the formation energy (no corrections) is -3.37 eV per formula unit.

a b c (Å): 8.884 8.884 7.306
angles (deg): 90.00 90.00 131.44
Positions (direct):
Sr: 0.000 0.500 0.000
Sr: 0.000 0.500 0.500
Sr: 0.084 0.916 0.750
Sr: 0.412 0.588 0.750
Sr: 0.500 0.000 0.000
Sr: 0.500 0.000 0.500
Sr: 0.588 0.412 0.250
Sr: 0.916 0.084 0.250
Ag: 0.387 0.613 0.250
Ag: 0.613 0.387 0.750
Au: 0.117 0.883 0.250
Au: 0.883 0.117 0.750
N: 0.250 0.750 0.750
N: 0.750 0.250 0.250


2.
Computed, not measured: crystalline AgTeAuN2 at its relaxed geometry at the PBE level of DFT.

Its symmetry is No. 123. Its magnetization is 3.66 μB per formula unit. The energy above the lowest structure with this stoichiometry comes out at 0.00 kJ per mole of atoms. The value obtained for the formation energy (no corrections) is 7.90 eV per formula unit.

a b c (Å): 4.068 4.068 6.493
angles (deg): 90.00 90.00 90.00
Positions (direct):
Ag: 0.000 0.000 0.000
Te: 0.500 0.500 0.000
Au: 0.500 0.500 0.500
N: 0.000 0.500 0.500
N: 0.500 0.000 0.500


Please write out number 1 again, unchanged.
Computed, not measured: crystalline Sr4AgAuN at its relaxed geometry at the PBE level of DFT.

Its symmetry is No. 63. Its magnetization is 0.00 μB per formula unit. The value obtained for the formation energy (no corrections) is -3.37 eV per formula unit.

a b c (Å): 8.884 8.884 7.306
angles (deg): 90.00 90.00 131.44
Positions (direct):
Sr: 0.000 0.500 0.000
Sr: 0.000 0.500 0.500
Sr: 0.084 0.916 0.750
Sr: 0.412 0.588 0.750
Sr: 0.500 0.000 0.000
Sr: 0.500 0.000 0.500
Sr: 0.588 0.412 0.250
Sr: 0.916 0.084 0.250
Ag: 0.387 0.613 0.250
Ag: 0.613 0.387 0.750
Au: 0.117 0.883 0.250
Au: 0.883 0.117 0.750
N: 0.250 0.750 0.750
N: 0.750 0.250 0.250


Question: The highest magnetization belongs to which entry?
Answer: AgTeAuN2


Question: The lowest formation energy (no corrections) belongs to which entry?
Answer: Sr4AgAuN


Question: The highest formation energy (no corrections) belongs to which entry?
Answer: AgTeAuN2